# 1
Density functional theory data (GGA-PBE) for an optimized crystal structure of MnHRh2.

a b c (Å): 5.9529 5.9529 4.9429
angles (deg): 52.97 52.97 90.00
Closest atoms and distances in Å follow each position.
Fractional coordinates of all 8 atoms:
1 H 0.5000 0.5000 0.0000  4 Rh 1.87
2 H 0.2500 0.7500 0.5000  4 Rh 1.87
3 Rh 0.3750 0.4679 0.7500  2 H 1.87
4 Rh 0.2179 0.6250 0.2500  2 H 1.87
5 Rh 0.8750 0.7821 0.7500  2 H 1.87
6 Rh 0.5321 0.1250 0.2500  2 H 1.87
7 Mn 0.0000 0.0000 0.0000  2 H 2.59, 8 Rh 2.61-2.62
8 Mn 0.7500 0.2500 0.5000  2 H 2.59, 8 Rh 2.61-2.62

Results
Crystal system = tetragonal
Magnetic moment = 3.6 μB/f.u.
Total DFT energy (no corrections) = -54.17 eV for the cell shown

# 2
Density functional theory data (GGA-PBE) for an optimized crystal structure of Mn3HRh.

a b c (Å): 3.6582 3.6582 3.6582
angles (deg): 90.00 90.00 90.00
Closest atoms and distances in Å follow each position.
Fractional coordinates of all 5 atoms:
1 Mn 0.0000 0.0000 0.5000  2 H 1.83
2 Mn 0.5000 0.0000 0.0000  2 H 1.83
3 Mn 0.0000 0.5000 0.0000  2 H 1.83
4 H 0.0000 0.0000 0.0000  6 Mn 1.83
5 Rh 0.5000 0.5000 0.5000  12 Mn 2.59

Results
Crystal system = cubic
Magnetic moment = 2.1 μB/f.u.
Total DFT energy (no corrections) = -38.09 eV for the cell shown

# 3
Density functional theory data (GGA-PBE) for an optimized crystal structure of MnH2Rh.

a b c (Å): 3.6734 3.6734 3.6734
angles (deg): 60.00 60.00 60.00
Closest atoms and distances in Å follow each position.
Fractional coordinates of all 4 atoms:
1 H 0.7500 0.7500 0.7500  4 Mn 2.25, 4 Rh 2.25
2 H 0.2500 0.2500 0.2500  4 Mn 2.25, 4 Rh 2.25
3 Rh 0.5000 0.5000 0.5000  8 H 2.25
4 Mn 0.0000 0.0000 0.0000  8 H 2.25

Results
Crystal system = cubic
Magnetic moment = 4.4 μB/f.u.
Total DFT energy (no corrections) = -21.74 eV for the cell shown

# 4
Density functional theory data (GGA-PBE) for an optimized crystal structure of Mn3H12Rh5.

a b c (Å): 9.3610 9.3610 9.3610
angles (deg): 109.47 109.47 109.47
Closest atoms and distances in Å follow each position.
Fractional coordinates of all 80 atoms:
1 Rh 0.0000 0.0000 0.0000  6 H 1.78
2 Rh 0.0000 0.5000 0.5000  6 H 1.78
3 Rh 0.6250 0.8750 0.2500  4 H 1.73
4 Rh 0.3750 0.1250 0.7500  4 H 1.73
5 Rh 0.2500 0.8750 0.1250  4 H 1.73
6 Rh 0.7500 0.6250 0.3750  4 H 1.73
7 Rh 0.0000 0.0000 0.5000  6 H 1.78
8 Rh 0.0000 0.5000 0.0000  6 H 1.78
9 Rh 0.1250 0.7500 0.3750  4 H 1.73
10 Rh 0.3750 0.2500 0.1250  4 H 1.73
11 Rh 0.5000 0.5000 0.0000  6 H 1.78
12 Rh 0.5000 0.0000 0.0000  6 H 1.78
13 Rh 0.5000 0.0000 0.5000  6 H 1.78
14 Rh 0.8750 0.2500 0.6250  4 H 1.73
15 Rh 0.1250 0.3750 0.2500  4 H 1.73
16 Rh 0.6250 0.7500 0.8750  4 H 1.73
17 Rh 0.8750 0.6250 0.7500  4 H 1.73
18 Rh 0.5000 0.5000 0.5000  6 H 1.78
19 Rh 0.7500 0.1250 0.8750  4 H 1.73
20 Rh 0.2500 0.3750 0.6250  4 H 1.73
21 H 0.0461 0.6287 0.7155  2 Rh 1.73-1.78
22 H 0.5826 0.9539 0.6694  2 Rh 1.73-1.78
23 H 0.6287 0.0461 0.2155  2 Rh 1.73-1.78
24 H 0.2155 0.6694 0.0868  2 Rh 1.73-1.78
25 H 0.5868 0.8713 0.4174  2 Rh 1.73-1.78
26 H 0.8306 0.9174 0.0461  2 Rh 1.73-1.78
27 H 0.9539 0.5826 0.1694  2 Rh 1.73-1.78
28 H 0.6694 0.4539 0.5826  2 Rh 1.73-1.78
29 H 0.4174 0.0461 0.3306  2 Rh 1.73-1.78
30 H 0.1694 0.0868 0.7155  2 Rh 1.73-1.78
31 H 0.3306 0.5461 0.4174  2 Rh 1.73-1.78
32 H 0.0826 0.9132 0.1287  2 Rh 1.73-1.78
33 H 0.5826 0.6287 0.4132  2 Rh 1.73-1.78
34 H 0.0868 0.9174 0.3713  2 Rh 1.73-1.78
35 H 0.0868 0.1694 0.2155  2 Rh 1.73-1.78
36 H 0.7845 0.4539 0.3713  2 Rh 1.73-1.78
37 H 0.3306 0.7845 0.4132  2 Rh 1.73-1.78
38 H 0.1287 0.7155 0.5461  2 Rh 1.73-1.78
39 H 0.4174 0.3713 0.5868  2 Rh 1.73-1.78
40 H 0.2155 0.5461 0.6287  2 Rh 1.73-1.78
41 H 0.4539 0.6694 0.0826  2 Rh 1.73-1.78
42 H 0.3713 0.9539 0.7845  2 Rh 1.73-1.78
43 H 0.0826 0.1694 0.4539  2 Rh 1.73-1.78
44 H 0.5868 0.7155 0.6694  2 Rh 1.73-1.78
45 H 0.8306 0.9132 0.2845  2 Rh 1.73-1.78
46 H 0.9132 0.0826 0.6287  2 Rh 1.73-1.78
47 H 0.6694 0.2155 0.5868  2 Rh 1.73-1.78
48 H 0.1287 0.4132 0.0826  2 Rh 1.73-1.78
49 H 0.4132 0.2845 0.3306  2 Rh 1.73-1.78
50 H 0.2845 0.4132 0.8306  2 Rh 1.73-1.78
51 H 0.7155 0.5868 0.1694  2 Rh 1.73-1.78
52 H 0.6287 0.5826 0.9132  2 Rh 1.73-1.78
53 H 0.1694 0.0826 0.9539  2 Rh 1.73-1.78
54 H 0.5461 0.3306 0.9174  2 Rh 1.73-1.78
55 H 0.7155 0.1287 0.0461  2 Rh 1.73-1.78
56 H 0.3713 0.4174 0.0868  2 Rh 1.73-1.78
57 H 0.5461 0.2155 0.1287  2 Rh 1.73-1.78
58 H 0.0461 0.4174 0.8306  2 Rh 1.73-1.78
59 H 0.9132 0.8306 0.7845  2 Rh 1.73-1.78
60 H 0.9174 0.0868 0.8713  2 Rh 1.73-1.78
61 H 0.9174 0.8306 0.5461  2 Rh 1.73-1.78
62 H 0.4539 0.7845 0.8713  2 Rh 1.73-1.78
63 H 0.2845 0.8713 0.9539  2 Rh 1.73-1.78
64 H 0.8713 0.2845 0.4539  2 Rh 1.73-1.78
65 H 0.8713 0.5868 0.9174  2 Rh 1.73-1.78
66 H 0.4132 0.1287 0.5826  2 Rh 1.73-1.78
67 H 0.9539 0.3713 0.2845  2 Rh 1.73-1.78
68 H 0.7845 0.3306 0.9132  2 Rh 1.73-1.78
69 Mn 0.2500 0.6250 0.8750  8 H 2.01-2.04
70 Mn 0.1250 0.8750 0.7500  8 H 2.01-2.04
71 Mn 0.3750 0.7500 0.6250  8 H 2.01-2.04
72 Mn 0.6250 0.2500 0.3750  8 H 2.01-2.04
73 Mn 0.2500 0.1250 0.3750  8 H 2.01-2.04
74 Mn 0.1250 0.2500 0.8750  8 H 2.01-2.04
75 Mn 0.8750 0.1250 0.2500  8 H 2.01-2.04
76 Mn 0.8750 0.7500 0.1250  8 H 2.01-2.04
77 Mn 0.3750 0.6250 0.2500  8 H 2.01-2.04
78 Mn 0.7500 0.8750 0.6250  8 H 2.01-2.04
79 Mn 0.6250 0.3750 0.7500  8 H 2.01-2.04
80 Mn 0.7500 0.3750 0.1250  8 H 2.01-2.04

Results
Crystal system = cubic
Magnetic moment = 13.1 μB/f.u.
Total DFT energy (no corrections) = -416.57 eV for the cell shown

# 5
Density functional theory data (GGA-PBE) for an optimized crystal structure of MnHRh.

a b c (Å): 4.6089 4.6089 5.9824
angles (deg): 89.93 89.93 81.60
Closest atoms and distances in Å follow each position.
Fractional coordinates of all 12 atoms:
1 Mn 0.2674 0.2725 0.4558  3 H 1.94-2.14
2 Mn 0.7348 0.7297 0.9546  3 H 1.94-2.13
3 Mn 0.2725 0.2674 0.9558  3 H 1.94-2.14
4 Mn 0.7297 0.7348 0.4546  3 H 1.94-2.13
5 H 0.9206 0.0816 0.9554  2 Rh 1.81, 2 Mn 1.94
6 H 0.0816 0.9206 0.4554  2 Rh 1.81, 2 Mn 1.94
7 H 0.0008 0.5014 0.2054  2 Rh 1.79
8 H 0.5014 0.0008 0.7054  2 Rh 1.79
9 Rh 0.7505 0.2389 0.2082  2 H 1.79-1.81
10 Rh 0.2389 0.7505 0.7082  2 H 1.79-1.81
11 Rh 0.7633 0.2517 0.7026  2 H 1.79-1.81
12 Rh 0.2517 0.7633 0.2026  2 H 1.79-1.81

Results
Crystal system = monoclinic
Magnetic moment = 4.4 μB/f.u.
Total DFT energy (no corrections) = -80.70 eV for the cell shown

# 6
Density functional theory data (GGA-PBE) for an optimized crystal structure of Mn3H9Rh4.

a b c (Å): 4.7195 4.7195 7.4680
angles (deg): 71.58 71.58 60.00
Closest atoms and distances in Å follow each position.
Fractional coordinates of all 16 atoms:
1 Rh 0.5643 0.5643 0.3070  3 H 1.70
2 Rh 0.7044 0.7044 0.8867  6 H 1.73-1.80
3 Rh 0.1302 0.1302 0.6094  6 H 1.73-1.80
4 Rh 0.2703 0.2703 0.1890  3 H 1.70
5 H 0.4247 0.8378 0.4544  2 Rh 1.70-1.80
6 H 0.4100 0.0117 0.7528  2 Rh 1.73, 1 Mn 1.92
7 H 0.0117 0.8255 0.7528  2 Rh 1.73, 1 Mn 1.92
8 H 0.9953 0.4101 0.0426  2 Rh 1.70-1.80
9 H 0.8255 0.4100 0.7528  2 Rh 1.73, 1 Mn 1.92
10 H 0.2830 0.4247 0.4544  2 Rh 1.70-1.80
11 H 0.5521 0.9953 0.0426  2 Rh 1.70-1.80
12 H 0.8378 0.2830 0.4544  2 Rh 1.70-1.80
13 H 0.4101 0.5521 0.0426  2 Rh 1.70-1.80
14 Mn 0.9854 0.9854 0.0439  3 H 2.03
15 Mn 0.8499 0.8499 0.4504  3 H 2.03
16 Mn 0.4191 0.4191 0.7428  3 H 1.92

Results
Crystal system = trigonal
Magnetic moment = 12.7 μB/f.u.
Total DFT energy (no corrections) = -86.91 eV for the cell shown

# 7
Density functional theory data (GGA-PBE) for an optimized crystal structure of MnH3Rh2.

a b c (Å): 5.0792 5.0792 5.1000
angles (deg): 100.50 100.50 119.87
Closest atoms and distances in Å follow each position.
Fractional coordinates of all 12 atoms:
1 H 0.0697 0.2231 0.3999  2 Rh 1.75-1.76, 2 Mn 1.83-1.87
2 H 0.5302 0.7088 0.8806  3 Rh 1.77-1.79, 1 Mn 1.86
3 H 0.8783 0.4014 0.8738  3 Rh 1.76-1.77, 1 Mn 1.83
4 H 0.4014 0.8783 0.3738  3 Rh 1.76-1.77, 1 Mn 1.83
5 H 0.2231 0.0697 0.8999  2 Rh 1.75-1.76, 2 Mn 1.83-1.87
6 H 0.7088 0.5302 0.3806  3 Rh 1.77-1.79, 1 Mn 1.86
7 Mn 0.9156 0.1064 0.0084  4 H 1.83-1.87
8 Mn 0.1064 0.9156 0.5084  4 H 1.83-1.87
9 Rh 0.2541 0.7728 0.0024  4 H 1.75-1.78
10 Rh 0.5972 0.4374 0.0061  4 H 1.76-1.79
11 Rh 0.7728 0.2541 0.5024  4 H 1.75-1.78
12 Rh 0.4374 0.5972 0.5061  4 H 1.76-1.79

Results
Crystal system = monoclinic
Magnetic moment = 4.0 μB/f.u.
Total DFT energy (no corrections) = -68.38 eV for the cell shown

# 8
Density functional theory data (GGA-PBE) for an optimized crystal structure of MnH2Rh.

a b c (Å): 4.9184 5.1066 5.6650
angles (deg): 90.00 90.00 90.00
Closest atoms and distances in Å follow each position.
Fractional coordinates of all 16 atoms:
1 Mn 0.0158 0.1047 0.1266  4 H 1.82-1.85
2 Mn 0.0158 0.6047 0.3734  4 H 1.82-1.85
3 Mn 0.5158 0.8953 0.8734  4 H 1.82-1.85
4 Mn 0.5158 0.3953 0.6266  4 H 1.82-1.85
5 H 0.3873 0.5785 0.3677  2 Rh 1.75-1.78, 2 Mn 1.83-1.85
6 H 0.3620 0.5708 0.8791  2 Rh 1.75-1.77, 2 Mn 1.82-1.85
7 H 0.3620 0.0708 0.6209  2 Rh 1.75-1.77, 2 Mn 1.82-1.85
8 H 0.8873 0.4215 0.6323  2 Rh 1.75-1.78, 2 Mn 1.83-1.85
9 H 0.8873 0.9215 0.8677  2 Rh 1.75-1.78, 2 Mn 1.83-1.85
10 H 0.8620 0.4292 0.1208  2 Rh 1.75-1.77, 2 Mn 1.82-1.85
11 H 0.8620 0.9292 0.3792  2 Rh 1.75-1.77, 2 Mn 1.82-1.85
12 H 0.3873 0.0785 0.1323  2 Rh 1.75-1.78, 2 Mn 1.83-1.85
13 Rh 0.5080 0.4004 0.1195  4 H 1.75-1.78
14 Rh 0.5080 0.9004 0.3805  4 H 1.75-1.78
15 Rh 0.0079 0.0996 0.6196  4 H 1.75-1.78
16 Rh 0.0079 0.5996 0.8804  4 H 1.75-1.78

Results
Crystal system = orthorhombic
Magnetic moment = 3.9 μB/f.u.
Total DFT energy (no corrections) = -93.38 eV for the cell shown

# 9
Density functional theory data (GGA-PBE) for an optimized crystal structure of MnHRh2.

a b c (Å): 4.0315 4.0315 4.0315
angles (deg): 60.00 60.00 60.00
Closest atoms and distances in Å follow each position.
Fractional coordinates of all 4 atoms:
1 Rh 0.2500 0.2500 0.2500  4 H 2.47, 4 Mn 2.47
2 Rh 0.7500 0.7500 0.7500  4 H 2.47, 4 Mn 2.47
3 H 0.0000 0.0000 0.0000  8 Rh 2.47
4 Mn 0.5000 0.5000 0.5000  8 Rh 2.47

Results
Crystal system = cubic
Magnetic moment = 2.3 μB/f.u.
Total DFT energy (no corrections) = -26.10 eV for the cell shown

# 10
Density functional theory data (GGA-PBE) for an optimized crystal structure of MnHRh2.

a b c (Å): 2.7148 2.7148 6.7888
angles (deg): 78.47 78.47 60.00
Closest atoms and distances in Å follow each position.
Fractional coordinates of all 4 atoms:
1 Rh 0.0650 0.0650 0.8050  3 H 2.06
2 Rh 0.2701 0.2701 0.1896  3 H 1.98
3 H 0.6643 0.6643 0.0071  6 Rh 1.98-2.06
4 Mn 0.5006 0.5006 0.4983  6 Rh 2.56-2.57, 6 Mn 2.71

Results
Crystal system = trigonal
Magnetic moment = 1.3 μB/f.u.
Total DFT energy (no corrections) = -27.12 eV for the cell shown

# 11
Density functional theory data (GGA-PBE) for an optimized crystal structure of MnH4Rh.

a b c (Å): 4.3770 4.3752 5.2143
angles (deg): 114.80 114.82 90.00
Closest atoms and distances in Å follow each position.
Fractional coordinates of all 12 atoms:
1 H 0.1270 0.1269 0.2536  2 Rh 1.86, 2 Mn 1.88, 1 H 2.07
2 H 0.1266 0.6269 0.2536  2 Rh 1.86, 2 Mn 1.88, 1 H 2.07
3 H 0.3733 0.8733 0.7465  2 Rh 1.86, 2 Mn 1.88, 1 H 2.07
4 H 0.6267 0.1267 0.2535  2 Rh 1.86, 2 Mn 1.88, 1 H 2.07
5 H 0.3733 0.3733 0.7465  2 Rh 1.86, 2 Mn 1.88, 1 H 2.07
6 H 0.8730 0.8731 0.7464  2 Rh 1.86, 2 Mn 1.88, 1 H 2.07
7 H 0.8734 0.3731 0.7464  2 Rh 1.86, 2 Mn 1.88, 1 H 2.07
8 H 0.6267 0.6267 0.2535  2 Rh 1.86, 2 Mn 1.88, 1 H 2.07
9 Rh 0.0000 0.0000 0.5000  8 H 1.86
10 Rh 0.5000 0.5000 0.5000  8 H 1.86
11 Mn 0.7499 0.2500 0.0000  8 H 1.88
12 Mn 0.2501 0.7500 0.0000  8 H 1.88

Results
Crystal system = tetragonal
Magnetic moment = 3.4 μB/f.u.
Total DFT energy (no corrections) = -59.91 eV for the cell shown

# 12
Density functional theory data (GGA-PBE) for an optimized crystal structure of MnH3Rh2.

a b c (Å): 5.5927 4.4636 4.4636
angles (deg): 75.78 90.00 90.00
Closest atoms and distances in Å follow each position.
Fractional coordinates of all 12 atoms:
1 H 0.7500 0.4427 0.2049  2 Rh 1.77, 1 Mn 1.96
2 H 0.7500 0.9795 0.0205  1 Mn 1.99, 4 Rh 1.99
3 H 0.2500 0.2049 0.4427  2 Rh 1.77, 1 Mn 1.96
4 H 0.2500 0.0205 0.9795  1 Mn 1.99, 4 Rh 1.99
5 H 0.2500 0.5573 0.7951  2 Rh 1.77, 1 Mn 1.96
6 H 0.7500 0.7951 0.5573  2 Rh 1.77, 1 Mn 1.96
7 Rh 0.0000 0.7989 0.7989  2 H 1.77
8 Rh 0.5000 0.2011 0.2011  2 H 1.77
9 Rh 0.0000 0.2011 0.2011  2 H 1.77
10 Rh 0.5000 0.7989 0.7989  2 H 1.77
11 Mn 0.7500 0.3417 0.6583  3 H 1.96-1.99
12 Mn 0.2500 0.6583 0.3417  3 H 1.96-1.99

Results
Crystal system = orthorhombic
Magnetic moment = 3.9 μB/f.u.
Total DFT energy (no corrections) = -67.77 eV for the cell shown